No. 1
A relaxed BaCoHg2 crystal, computed with GGA-PBEsol.

**Calculated formation energy**: 1.04 eV/f.u.
**Crystal system**: tetragonal
**DOS at the Fermi energy**: 6.3 states/eV/f.u.
**SG**: I4/mmm

a b c (Å): 5.559 5.559 5.559
angles (deg): 130.27 130.27 72.98
Element x y z (fractional)
1 Ba 0.000 0.000 0.000
2 Co 0.500 0.500 0.000
3 Hg 0.250 0.750 0.500
4 Hg 0.750 0.250 0.500

No. 2
A relaxed CsBeTl3 crystal, computed with GGA-PBEsol.

**Calculated formation energy**: 7.62 eV/f.u.
**Crystal system**: cubic
**DOS at the Fermi energy**: 8.4 states/eV/f.u.
**SG**: Pm-3m

a b c (Å): 6.436 6.436 6.436
angles (deg): 90.00 90.00 90.00
Element x y z (fractional)
1 Cs 0.000 0.000 0.000
2 Be 0.500 0.500 0.500
3 Tl 0.000 0.000 0.500
4 Tl 0.000 0.500 0.000
5 Tl 0.500 0.000 0.000

No. 3
A relaxed RuPb2Cl crystal, computed with GGA-PBEsol.

**Energy relative to the lowest polymorph listed for this composition**: 0.2988 eV/atom
**Crystal system**: orthorhombic
**DOS at the Fermi energy**: 3.8 states/eV/f.u.
**SG**: Immm

a b c (Å): 5.196 5.196 5.196
angles (deg): 128.74 125.12 78.40
Element x y z (fractional)
1 Ru 0.000 0.000 0.000
2 Pb 0.232 0.732 0.500
3 Pb 0.768 0.268 0.500
4 Cl 0.500 0.500 0.000

No. 4
A relaxed ErMgZn2 crystal, computed with GGA-PBEsol.

**Calculated formation energy**: -1.34 eV/f.u.
**Crystal system**: cubic
**DOS at the Fermi energy**: 1.2 states/eV/f.u.
**SG**: Fm-3m

a b c (Å): 4.722 4.722 4.722
angles (deg): 60.00 60.00 60.00
Element x y z (fractional)
1 Er 0.000 0.000 0.000
2 Mg 0.500 0.500 0.500
3 Zn 0.250 0.250 0.250
4 Zn 0.750 0.750 0.750

No. 5
A relaxed AgPOs2 crystal, computed with GGA-PBEsol.

**Calculated formation energy**: 1.27 eV/f.u.
**Crystal system**: tetragonal
**DOS at the Fermi energy**: 3.1 states/eV/f.u.
**SG**: P4mm

a b c (Å): 2.786 2.786 7.613
angles (deg): 90.00 90.00 90.00
Element x y z (fractional)
1 Ag 0.000 0.000 0.000
2 P 0.500 0.500 0.708
3 Os 0.000 0.000 0.507
4 Os 0.500 0.500 0.273

No. 6
A relaxed ThRh2 crystal, computed with GGA-PBEsol.

**Calculated formation energy**: -2.28 eV/f.u.
**Crystal system**: hexagonal
**DOS at the Fermi energy**: 0.5 states/eV/f.u.
**SG**: P6_3/mmc

a b c (Å): 4.672 4.672 5.841
angles (deg): 90.00 90.00 120.00
Element x y z (fractional)
1 Th 0.333 0.667 0.250
2 Th 0.667 0.333 0.750
3 Rh 0.000 0.000 0.000
4 Rh 0.000 0.000 0.500
5 Rh 0.333 0.667 0.750
6 Rh 0.667 0.333 0.250